(1)
! PBE ScCr2Co, optimized geometry; values from VASP
&SYSTEM
  ibrav = 0, nat = 8, ntyp = 3
/
ATOMIC_SPECIES
Cr 52.00 Cr.upf
Sc 44.96 Sc.upf
Co 58.93 Co.upf
ATOMIC_POSITIONS crystal
Cr 0.375 0.327 0.750
Sc 0.500 0.500 0.000
Sc 0.250 0.750 0.500
Co 0.750 0.250 0.500
Cr 0.077 0.625 0.250
Co 0.000 0.000 0.000
Cr 0.673 0.125 0.250
Cr 0.875 0.923 0.750
CELL_PARAMETERS angstrom
-2.729 -2.389 5.879
-4.184 -4.134 -3.622
-1.786 -5.009 1.194
! Energy of formation from the pure elements (eV per atom): 0.540
! Density of states at the Fermi level (states/eV per atom): 1.5241
! VASP energy (eV/atom): -7.63
! M_tot (μB per cell): 0.006
! Space group: I-42d, No. 122
! Density (Mg/m³): 5.98

=====

(2)
! PBE ScCr2Co2, optimized geometry; values from VASP
&SYSTEM
  ibrav = 0, nat = 10, ntyp = 3
/
ATOMIC_SPECIES
Cr 52.00 Cr.upf
Co 58.93 Co.upf
Sc 44.96 Sc.upf
ATOMIC_POSITIONS crystal
Cr 0.385 0.885 0.000
Co 0.825 0.325 0.500
Cr 0.885 0.615 0.000
Co 0.675 0.825 0.500
Sc 0.500 0.500 0.000
Cr 0.115 0.385 0.000
Sc 0.000 0.000 0.000
Cr 0.615 0.115 0.000
Co 0.325 0.175 0.500
Co 0.175 0.675 0.500
CELL_PARAMETERS angstrom
7.121 0.000 0.000
0.000 7.121 0.000
0.000 0.000 2.537
! Energy of formation from the pure elements (eV per atom): 0.118
! Density of states at the Fermi level (states/eV per atom): 1.5663
! VASP energy (eV/atom): -7.84
! M_tot (μB per cell): 0.000
! Space group: P4/mbm, No. 127
! Density (Mg/m³): 6.89

=====

(3)
! PBE ScCr2Co, optimized geometry; values from VASP
&SYSTEM
  ibrav = 0, nat = 4, ntyp = 3
/
ATOMIC_SPECIES
Sc 44.96 Sc.upf
Cr 52.00 Cr.upf
Co 58.93 Co.upf
ATOMIC_POSITIONS crystal
Sc 0.500 0.500 0.250
Cr 0.000 0.000 0.538
Cr 0.000 0.000 0.962
Co 0.500 0.500 0.750
CELL_PARAMETERS angstrom
2.602 0.056 0.000
-0.023 2.602 0.000
0.000 0.000 7.909
! Energy of formation from the pure elements (eV per atom): 0.348
! Density of states at the Fermi level (states/eV per atom): 1.3143
! VASP energy (eV/atom): -7.82
! M_tot (μB per cell): 0.002
! Space group: Cmmm, No. 65
! Density (Mg/m³): 6.45

=====

(4)
! PBE ScCr2Co, optimized geometry; values from VASP
&SYSTEM
  ibrav = 0, nat = 4, ntyp = 3
/
ATOMIC_SPECIES
Co 58.93 Co.upf
Cr 52.00 Cr.upf
Sc 44.96 Sc.upf
ATOMIC_POSITIONS crystal
Co 0.500 0.500 0.500
Cr 0.250 0.250 0.250
Cr 0.750 0.750 0.750
Sc 0.000 0.000 0.000
CELL_PARAMETERS angstrom
1.671 1.631 3.489
0.433 4.159 0.375
-2.420 2.128 2.690
! Energy of formation from the pure elements (eV per atom): 0.461
! Density of states at the Fermi level (states/eV per atom): 2.0073
! VASP energy (eV/atom): -7.71
! M_tot (μB per cell): 0.000
! Space group: Fm-3m, No. 225
! Density (Mg/m³): 6.60

=====

(5)
! PBE ScCrCo2, optimized geometry; values from VASP
&SYSTEM
  ibrav = 0, nat = 8, ntyp = 3
/
ATOMIC_SPECIES
Co 58.93 Co.upf
Sc 44.96 Sc.upf
Cr 52.00 Cr.upf
ATOMIC_POSITIONS crystal
Co 0.073 0.625 0.250
Sc 0.500 0.500 0.000
Co 0.677 0.125 0.250
Co 0.375 0.323 0.750
Cr 0.000 0.000 0.000
Sc 0.250 0.750 0.500
Co 0.875 0.927 0.750
Cr 0.750 0.250 0.500
CELL_PARAMETERS angstrom
6.592 0.000 0.000
0.000 6.592 0.000
3.296 3.296 2.606
! Energy of formation from the pure elements (eV per atom): 0.317
! Density of states at the Fermi level (states/eV per atom): 1.6772
! VASP energy (eV/atom): -7.22
! M_tot (μB per cell): 0.006
! Space group: I-42d, No. 122
! Density (Mg/m³): 6.30

=====

(6)
! PBE ScCrCo2, optimized geometry; values from VASP
&SYSTEM
  ibrav = 0, nat = 4, ntyp = 3
/
ATOMIC_SPECIES
Co 58.93 Co.upf
Cr 52.00 Cr.upf
Sc 44.96 Sc.upf
ATOMIC_POSITIONS crystal
Co 0.984 0.984 0.000
Cr 0.516 0.516 0.000
Sc 0.242 0.742 0.500
Co 0.759 0.259 0.500
CELL_PARAMETERS angstrom
5.062 0.003 -0.002
2.419 4.447 0.002
-3.320 -2.932 2.451
! Energy of formation from the pure elements (eV per atom): 0.088
! Density of states at the Fermi level (states/eV per atom): 0.8486
! VASP energy (eV/atom): -7.45
! M_tot (μB per cell): 4.946
! Space group: Imm2, No. 44
! Density (Mg/m³): 6.47